(1)
## BeMoSe2 (PBE-GGA)

Data for crystalline BeMoSe2 at its relaxed geometry.

Cell and atoms, written as POSCAR:
```
BeMoSe2
1.0
3.1498 0.0000 0.0000
0.0000 3.1498 0.0000
0.0000 0.0000 6.2165
Be Mo Se
1 1 2
Direct
0.0000 0.0000 0.0000
0.0000 0.0000 0.5000
0.5000 0.5000 0.2515
0.5000 0.5000 0.7485
```



(2)
## BeMo2Se (PBE-GGA)

Data for crystalline BeMo2Se at its relaxed geometry.

Cell and atoms, written as POSCAR:
```
BeMo2Se
1.0
3.2388 0.0000 0.0000
0.0000 4.0084 0.0000
0.0000 0.0000 4.5010
Be Mo Se
1 2 1
Direct
0.0000 0.0000 0.0000
0.0000 0.5000 0.5000
0.5000 0.5000 0.0000
0.5000 0.0000 0.5000
```

Computed properties:
offset from the most stable computed form	0.389	eV per atom



(3)
## BeMoSe2 (PBE-GGA)

Data for crystalline BeMoSe2 at its relaxed geometry.

Cell and atoms, written as POSCAR:
```
BeMoSe2
1.0
3.1311 0.0000 0.0000
0.0000 3.1311 0.0000
0.0000 0.0000 7.7246
Be Mo Se
1 1 2
Direct
0.0000 0.0000 0.0000
0.5000 0.5000 0.1908
0.0000 0.0000 0.3780
0.5000 0.5000 0.8661
```



In meV/atom, the formation energy from raw total energies values for the records above are, in order, 216 415 -127.
In Å³/atom, the volume values for the records above are, in order, 15.42 14.61 18.93.